No. 1
Density functional theory data (GGA-PBE) for a geometry-optimized La2CoTc structure.

Unit cell a=3.434 b=3.434 c=8.218 alpha=90.00 beta=90.00 gamma=90.00
Space group P4mm (No. 99)
Asymmetric unit:
La 0.000 0.000 0.000 x1
La 0.500 0.500 0.426 x1
Co 0.500 0.500 0.774 x1
Tc 0.000 0.000 0.678 x1

Output
energy relative to the elements	20	kJ per mole of atoms
E	-6.628	eV per atom
offset from the most stable computed form	0.203	eV/atom
mass density	7.45	g/cm3

---

No. 2
Density functional theory data (GGA-PBE) for a geometry-optimized La2CoTc structure.

Unit cell a=3.552 b=3.557 c=7.079 alpha=90.00 beta=90.11 gamma=90.00
Space group P2/m (No. 10)
Asymmetric unit:
La 0.001 0.000 0.249 x2
Co 0.500 0.500 0.000 x1
Tc 0.500 0.500 0.500 x1

Output
energy relative to the elements	22	kJ per mole of atoms
E	-6.604	eV per atom
offset from the most stable computed form	0.227	eV/atom
mass density	8.07	g/cm3

---

No. 3
Density functional theory data (GGA-PBE) for a geometry-optimized La6CoTc structure.

Unit cell a=6.8924 b=6.8924 c=6.2190 alpha=90.00 beta=90.00 gamma=120.00
Space group P-31m (No. 162)
Asymmetric unit:
La 0.0000 0.3421 0.2522 x6
Co 0.0000 0.0000 0.5000 x1
Tc 0.0000 0.0000 0.0000 x1

Output
energy relative to the elements	-8	kJ per mole of atoms
E	-5.958	eV per atom
mass density	6.43	g/cm3

---

Among the records above, which one has the lowest E?
number 1